Record 1
A plane-wave DFT calculation with PBE-GGA was carried out for an optimized crystal structure of PrSbTe2S.

Cell and atoms, written as POSCAR:
```
PrSbTe2S
1.0
4.472 0.000 0.000
0.000 4.472 0.000
0.000 0.000 15.435
Pr Sb Te S
2 2 4 2
direct
0.250 0.250 0.112
0.750 0.750 0.888
0.250 0.250 0.614
0.750 0.750 0.386
0.250 0.250 0.393
0.250 0.250 0.801
0.750 0.750 0.199
0.750 0.750 0.607
0.250 0.750 0.000
0.750 0.250 0.000
```

Properties
Fermi-level density of states: 0.642 states/eV/atom


Record 2
A plane-wave DFT calculation with PBE-GGA was carried out for an optimized crystal structure of Pr4SbTe2S.

Cell and atoms, written as POSCAR:
```
Pr4SbTe2S
1.0
7.655 0.000 0.000
0.000 4.394 0.000
-2.531 0.000 7.388
Pr Sb Te S
4 1 2 1
direct
0.223 0.000 0.218
0.239 0.500 0.772
0.761 0.500 0.228
0.777 0.000 0.782
0.500 0.000 0.000
0.000 0.000 0.500
0.500 0.500 0.500
0.000 0.500 0.000
```

Properties
Fermi-level density of states: 0.473 states/eV/atom


Record 3
A plane-wave DFT calculation with PBE-GGA was carried out for an optimized crystal structure of Pr3Tl4SbS8.

Cell and atoms, written as POSCAR:
```
Pr3Tl4SbS8
1.0
4.182 2.414 7.469
-4.182 2.414 7.469
0.000 -4.829 7.469
Pr Tl Sb S
3 4 1 8
direct
0.000 0.500 0.500
0.500 0.000 0.500
0.500 0.500 0.000
0.000 0.000 0.500
0.000 0.500 0.000
0.500 0.000 0.000
0.500 0.500 0.500
0.000 0.000 0.000
0.230 0.230 0.743
0.230 0.743 0.230
0.257 0.770 0.770
0.264 0.264 0.264
0.736 0.736 0.736
0.743 0.230 0.230
0.770 0.257 0.770
0.770 0.770 0.257
```


Energy relative to the elements, uncorrected (kJ/mol of atoms)
-84.8 -146.9 -111.9
Calculated volume (A^3/atom)
30.87 31.06 28.28
Total magnetization (μB/f.u.)
0.0 0.0 0.0